Material: ThAgPt
Method: DFT, PBE
State: relaxed

abc: 5.5486 5.5486 7.5909
angles: 118.63 118.63 42.87
Closest atoms and distances in Å follow each position.
Fractional positions:
Th  0.0581  0.0581  0.3106  5 Pt 2.85-3.09
Th  0.9419  0.9419  0.6894  5 Pt 2.85-3.09
Ag  0.3368  0.3368  0.9429  3 Pt 2.86-3.00, 3 Ag 3.02-3.11
Ag  0.6632  0.6632  0.0571  3 Pt 2.86-3.00, 3 Ag 3.02-3.11
Pt  0.3464  0.3464  0.3449  1 Pt 2.81, 5 Th 2.85-3.09, 3 Ag 2.86-3.00
Pt  0.6536  0.6536  0.6551  1 Pt 2.81, 5 Th 2.85-3.09, 3 Ag 2.86-3.00

E_form, eV/atom: -0.75
Crystal system: monoclinic
N(E_F), states/eV per cell: 3.24
Spin magnetization, Bohr magnetons per cell: 0.0
SG: No. 12

---

Material: Ta2Ti2Nb
Method: DFT, PBE
State: relaxed

abc: 7.2086 7.2086 3.5008
angles: 90.00 90.00 90.00
Closest atoms and distances in Å follow each position.
Fractional positions:
Ta  0.1641  0.3359  0.0000  6 Ti 2.69-2.78
Ta  0.3359  0.8359  0.0000  6 Ti 2.69-2.78
Ta  0.6641  0.1641  0.0000  6 Ti 2.69-2.78
Ta  0.8359  0.6641  0.0000  6 Ti 2.69-2.78
Ti  0.1349  0.6349  0.5000  6 Ta 2.69-2.78, 1 Ti 2.75, 2 Nb 2.81
Ti  0.3651  0.1349  0.5000  6 Ta 2.69-2.78, 1 Ti 2.75, 2 Nb 2.81
Ti  0.6349  0.8651  0.5000  6 Ta 2.69-2.78, 1 Ti 2.75, 2 Nb 2.81
Ti  0.8651  0.3651  0.5000  6 Ta 2.69-2.78, 1 Ti 2.75, 2 Nb 2.81
Nb  0.0000  0.0000  0.5000  4 Ti 2.81
Nb  0.5000  0.5000  0.5000  4 Ti 2.81

E_form, eV/atom: 0.31
Crystal system: tetragonal
N(E_F), states/eV per cell: 7.67
Spin magnetization, Bohr magnetons per cell: 1.9
SG: No. 127

---

Material: Na5In4Pb
Method: DFT, PBE
State: relaxed

abc: 12.4066 12.4066 12.4066
angles: 24.36 24.36 24.36
Closest atoms and distances in Å follow each position.
Fractional positions:
Na  0.0000  0.0000  0.0000  7 Na 3.31-3.57, 4 In 3.40-3.60
Na  0.0988  0.0988  0.0988  9 In 3.32-3.61, 5 Na 3.56-3.71
Na  0.1974  0.1974  0.1974  9 In 3.38-3.73, 2 Na 3.56-3.57
Na  0.2962  0.2962  0.2962  3 Pb 3.19, 1 In 3.29, 4 Na 3.31-3.57
Na  0.7060  0.7060  0.7060  3 In 3.07, 3 Na 3.34
In  0.3873  0.3873  0.3873  1 In 2.99, 4 Na 3.07-3.29
In  0.4701  0.4701  0.4701  4 In 2.99-3.08, 3 Na 3.32
In  0.8201  0.8201  0.8201  4 In 3.08-3.10, 3 Na 3.41
In  0.9059  0.9059  0.9059  1 In 3.10, 3 Pb 3.20, 4 Na 3.38-3.40
Pb  0.6014  0.6014  0.6014  3 Na 3.19, 3 In 3.20

E_form, eV/atom: -0.08
Crystal system: trigonal
N(E_F), states/eV per cell: 6.22
Spin magnetization, Bohr magnetons per cell: 0.0
SG: No. 160